[1]
This record from the Alexandria database describes crystalline LaCrIN2 at its relaxed geometry. The functional is PBE.

Output
Its density of states at the Fermi level is 0.592 states/eV per atom. The formation energy from raw total energies is 775 meV/atom. The calculation puts the excess energy over the best structure of this formula in the dataset at 528 meV/atom.

```
5
Lattice="4.333 0.000 0.000 0.000 4.333 0.000 0.000 0.000 6.804" Properties=species:S:1:pos:R:3 pbc="T T T"
N 0.000 2.166 0.000
N 2.166 0.000 0.000
I 0.000 0.000 3.402
La 0.000 0.000 0.000
Cr 2.166 2.166 3.402
```

***

[2]
This record from the Alexandria database describes crystalline LaCrI2N at its relaxed geometry. The functional is PBE.

Output
Its density of states at the Fermi level is 1.035 states/eV per atom. The formation energy from raw total energies is -228 meV/atom. The calculation puts the excess energy over the best structure of this formula in the dataset at 0 meV/atom.

```
5
Lattice="5.586 0.000 0.000 0.000 5.586 0.000 0.000 0.000 3.699" Properties=species:S:1:pos:R:3 pbc="T T T"
I 0.000 2.793 0.000
I 2.793 0.000 0.000
La 2.793 2.793 1.850
N 0.000 0.000 1.850
Cr 0.000 0.000 0.000
```

***

[3]
This record from the Alexandria database describes crystalline LaCrIN2 at its relaxed geometry. The functional is PBE.

Output
Its density of states at the Fermi level is 0.568 states/eV per atom. The formation energy from raw total energies is 248 meV/atom. The calculation puts the excess energy over the best structure of this formula in the dataset at 0 meV/atom.

```
5
Lattice="4.157 0.000 0.000 0.000 4.157 0.000 0.000 0.000 5.071" Properties=species:S:1:pos:R:3 pbc="T T T"
N 2.078 0.000 0.000
N 0.000 2.078 0.000
La 2.078 2.078 2.535
Cr 0.000 0.000 0.000
I 0.000 0.000 2.535
```